# Li2Tb2SmGa2 (GGA-PBE, optimized geometry)
data_Li2Tb2SmGa2
_chemical_formula_sum 'Li6 Tb6 Sm3 Ga6'
_symmetry_space_group_name_H-M 'R -3 m'
_symmetry_Int_Tables_number 166
_symmetry_space_group_name_Hall '-R 3 2"'
_cell_length_a 4.6416
_cell_length_b 4.6416
_cell_length_c 26.3861
_cell_angle_alpha 90.00
_cell_angle_beta 90.00
_cell_angle_gamma 120.00
loop_
_atom_site_label
_atom_site_fract_x
_atom_site_fract_y
_atom_site_fract_z
_atom_site_occupancy
Li1 0.0000 0.0000 0.1005 1
Tb1 0.0000 0.0000 0.3733 1
Sm1 0.0000 0.0000 0.5000 1
Ga1 0.0000 0.0000 0.2400 1
# DOS(E_F)   15.43 states/eV per cell
# V   492.31 Å³/cell
# Spin magnetization   0.00 μB per formula unit
# Energy of formation   -1.98 eV/f.u.